GGA-PBE CeHo2Tm5, optimized geometry; E_form = 0.31 eV/f.u.; raw total energy = -37.14 eV/cell; offset from the most stable computed form = 0 meV/atom; symmetry = I4/mmm, No. 139; density of states at the Fermi level = 12.2 states/eV per cell
1.0
6.121 -0.190 -3.358
-3.931 5.767 -0.264
-0.130 0.190 6.981
Tm Ce Ho
5 1 2
direct
0.500 0.222 0.222
0.000 0.222 0.722
0.500 0.722 0.722
0.000 0.722 0.222
0.000 0.722 0.722
0.000 0.222 0.222
0.500 0.722 0.222
0.500 0.222 0.722